a:
Material: HfTeSe3
Method: DFT, PBE-GGA
State: relaxed

a b c (Å): 5.1672 5.1672 5.1672
angles (deg): 90.00 90.00 90.00
With the nearest neighbours (Å) after each atom.
Space group Pm-3m (No. 221)
Symmetry-distinct sites (fractional):
Hf 0.0000 0.0000 0.0000  6 Se 2.58
Te 0.5000 0.5000 0.5000  12 Se 3.65
Se 0.0000 0.0000 0.5000  2 Hf 2.58

Its crystal system is cubic. Its density is 6.54 g cm⁻³. The density of states at the Fermi level is 5.13 states/eV/cell.

---

b:
Material: HfTeSe3
Method: DFT, PBE-GGA
State: relaxed

a b c (Å): 5.2390 5.2390 5.2390
angles (deg): 90.00 90.00 90.00
With the nearest neighbours (Å) after each atom.
Space group Pm-3m (No. 221)
Symmetry-distinct sites (fractional):
Hf 0.0000 0.0000 0.0000  12 Se 3.70
Te 0.5000 0.5000 0.5000  6 Se 2.62
Se 0.0000 0.5000 0.5000  2 Te 2.62

Its crystal system is cubic. Its density is 6.27 g cm⁻³. The density of states at the Fermi level is 5.25 states/eV/cell.

---

How far above the most stable structure does each one sit? In meV per atom: a 0; b 939.

---

a:
Material: HfTiSe2
Method: DFT, PBE-GGA
State: relaxed

a b c (Å): 6.5452 6.5452 6.5452
angles (deg): 90.00 90.00 90.00
With the nearest neighbours (Å) after each atom.
Space group Fm-3m (No. 225)
Symmetry-distinct sites (fractional):
Hf 0.0000 0.0000 0.0000  8 Se 2.83
Ti 0.0000 0.0000 0.5000  8 Se 2.83
Se 0.2500 0.2500 0.2500  4 Hf 2.83, 4 Ti 2.83

Its crystal system is cubic. Its density is 9.10 g cm⁻³. The density of states at the Fermi level is 0.91 states/eV/cell.

---

b:
Material: HfTiSe2
Method: DFT, PBE-GGA
State: relaxed

a b c (Å): 3.4458 3.4458 25.5227
angles (deg): 90.00 90.00 120.00
With the nearest neighbours (Å) after each atom.
Space group R-3m (No. 166, hexagonal axes)
Symmetry-distinct sites (fractional):
Hf 0.0000 0.0000 0.0000  2 Se 2.64
Ti 0.0000 0.0000 0.5000  6 Se 2.56
Se 0.0000 0.0000 0.1034  3 Ti 2.56, 1 Hf 2.64

Its crystal system is trigonal. Its density is 7.29 g cm⁻³. The density of states at the Fermi level is 13.97 states/eV/cell.

---

c:
Material: HfTiSe2
Method: DFT, PBE-GGA
State: relaxed

a b c (Å): 5.8614 5.8614 11.8992
angles (deg): 90.00 90.00 90.00
With the nearest neighbours (Å) after each atom.
Space group I-42d (No. 122)
Symmetry-distinct sites (fractional):
Hf 0.0000 0.0000 0.0000  4 Se 2.59
Ti 0.0000 0.0000 0.5000  4 Se 2.52
Se 0.2396 0.2500 0.6250  2 Ti 2.52, 2 Hf 2.59

Its crystal system is tetragonal. Its density is 6.24 g cm⁻³. The density of states at the Fermi level is 22.72 states/eV/cell.

---

d:
Material: HfTiSe2
Method: DFT, PBE-GGA
State: relaxed

a b c (Å): 3.4442 3.4442 7.1428
angles (deg): 90.00 90.00 120.00
With the nearest neighbours (Å) after each atom.
Space group P-3m1 (No. 164)
Symmetry-distinct sites (fractional):
Hf 0.0000 0.0000 0.0000  6 Se 2.73
Ti 0.0000 0.0000 0.5000  6 Se 2.62
Se 0.3333 0.6667 0.2619  3 Ti 2.62, 3 Hf 2.73

Its crystal system is trigonal. Its density is 8.70 g cm⁻³. The density of states at the Fermi level is 1.88 states/eV/cell.

---

How far above the most stable structure does each one sit? In meV per atom: a 206; b 446; c 579; d 0.

---

a:
Material: HfTiSe
Method: DFT, PBE-GGA
State: relaxed

a b c (Å): 4.4217 4.4217 3.3510
angles (deg): 90.00 90.00 120.00
With the nearest neighbours (Å) after each atom.
Space group P-6m2 (No. 187)
Symmetry-distinct sites (fractional):
Hf 0.0000 0.0000 0.0000  6 Se 3.05, 6 Ti 3.05, 2 Hf 3.35
Ti 0.6667 0.3333 0.5000  3 Se 2.55
Se 0.3333 0.6667 0.5000  3 Ti 2.55

Its crystal system is hexagonal. Its density is 8.94 g cm⁻³. The density of states at the Fermi level is 3.41 states/eV/cell.

---

b:
Material: HfTiSe
Method: DFT, PBE-GGA
State: relaxed

a b c (Å): 3.2796 3.2796 24.4255
angles (deg): 90.00 90.00 90.00
With the nearest neighbours (Å) after each atom.
Space group I4/mmm (No. 139)
Symmetry-distinct sites (fractional):
Hf 0.0000 0.0000 0.0660  1 Se 2.98, 4 Ti 2.99, 5 Hf 3.22-3.28
Ti 0.0000 0.0000 0.3569  4 Se 2.57
Se 0.0000 0.0000 0.1881  4 Ti 2.57

Its crystal system is tetragonal. Its density is 7.72 g cm⁻³. The density of states at the Fermi level is 6.32 states/eV/cell.

---

c:
Material: HfTiSe
Method: DFT, PBE-GGA
State: relaxed

a b c (Å): 9.7890 3.5083 7.0773
angles (deg): 90.00 109.44 90.00
With the nearest neighbours (Å) after each atom.
Space group C2/m (No. 12)
Symmetry-distinct sites (fractional):
Hf 0.1294 0.0000 0.2923  4 Se 2.75-2.78, 2 Ti 2.96
Ti 0.1271 0.5000 0.9549  3 Se 2.62-2.72, 3 Ti 2.77-2.87
Se 0.1503 0.0000 0.6918  3 Ti 2.62-2.72, 4 Hf 2.75-2.78

Its crystal system is monoclinic. Its density is 8.85 g cm⁻³. The density of states at the Fermi level is 10.41 states/eV/cell.

---

How far above the most stable structure does each one sit? In meV per atom: a 467; b 222; c 0.

---

a:
Material: Hf2TiSe6
Method: DFT, PBE-GGA
State: relaxed

a b c (Å): 6.1724 6.7041 11.5590
angles (deg): 90.00 121.33 90.00
With the nearest neighbours (Å) after each atom.
Space group P2_1/c (No. 14)
Symmetry-distinct sites (fractional):
Hf 0.1732 0.1191 0.2400  6 Se 2.66-2.75
Ti 0.5000 0.0000 0.0000  6 Se 2.53-2.60
Se 0.0941 0.1890 0.9253  1 Ti 2.53, 2 Hf 2.71-2.75
Se 0.2449 0.6691 0.9216  1 Ti 2.60, 2 Hf 2.67-2.71
Se 0.4318 0.0504 0.7628  1 Ti 2.57, 2 Hf 2.66-2.70

Its crystal system is monoclinic. Its density is 7.14 g cm⁻³.

---

b:
Material: Hf2TiSe6
Method: DFT, PBE-GGA
State: relaxed

a b c (Å): 17.5028 3.7032 8.1668
angles (deg): 90.00 110.94 90.00
With the nearest neighbours (Å) after each atom.
Space group C2/m (No. 12)
Symmetry-distinct sites (fractional):
Hf 0.1641 0.0000 0.3312  6 Se 2.65-2.70
Ti 0.0000 0.5000 0.0000  6 Se 2.59-2.60
Se 0.0021 0.0000 0.2252  2 Ti 2.60, 1 Hf 2.65
Se 0.1575 0.5000 0.0909  1 Ti 2.59, 2 Hf 2.67
Se 0.1713 0.5000 0.5732  3 Hf 2.68-2.70

Its crystal system is monoclinic. Its density is 5.90 g cm⁻³. The density of states at the Fermi level is 2.36 states/eV/cell.

---

How far above the most stable structure does each one sit? In meV per atom: a 162; b 0.

---

a:
Material: Hf3TlSe
Method: DFT, PBE-GGA
State: relaxed

a b c (Å): 4.9521 4.9521 4.9521
angles (deg): 90.00 90.00 90.00
With the nearest neighbours (Å) after each atom.
Space group Pm-3m (No. 221)
Symmetry-distinct sites (fractional):
Hf 0.0000 0.0000 0.5000  2 Se 2.48
Tl 0.5000 0.5000 0.5000  12 Hf 3.50
Se 0.0000 0.0000 0.0000  6 Hf 2.48

Its crystal system is cubic. Its density is 11.20 g cm⁻³. The density of states at the Fermi level is 7.08 states/eV/cell.

---

b:
Material: Hf3TlSe
Method: DFT, PBE-GGA
State: relaxed

a b c (Å): 5.2859 5.2859 5.2859
angles (deg): 90.00 90.00 90.00
With the nearest neighbours (Å) after each atom.
Space group Pm-3m (No. 221)
Symmetry-distinct sites (fractional):
Hf 0.0000 0.0000 0.5000  2 Tl 2.64
Tl 0.0000 0.0000 0.0000  6 Hf 2.64
Se 0.5000 0.5000 0.5000  12 Hf 3.74

Its crystal system is cubic. Its density is 9.21 g cm⁻³. The density of states at the Fermi level is 7.11 states/eV/cell.

---

How far above the most stable structure does each one sit? In meV per atom: a 0; b 1159.

---

a:
Material: TmHfSe2
Method: DFT, PBE-GGA
State: relaxed

a b c (Å): 3.6429 3.6429 22.1816
angles (deg): 90.00 90.00 120.00
With the nearest neighbours (Å) after each atom.
Space group R3m (No. 160, hexagonal axes)
Symmetry-distinct sites (fractional):
Tm 0.0000 0.0000 0.0000  6 Se 2.85-2.88
Hf 0.0000 0.0000 0.1660  6 Se 2.73-2.74
Se 0.0000 0.0000 0.4201  3 Hf 2.74, 3 Tm 2.85
Se 0.0000 0.0000 0.5779  3 Hf 2.73, 3 Tm 2.88

Its crystal system is trigonal. Its density is 9.88 g cm⁻³. The density of states at the Fermi level is 7.76 states/eV/cell.

---

b:
Material: TmHfSe2
Method: DFT, PBE-GGA
State: relaxed

a b c (Å): 3.6997 3.6997 26.6908
angles (deg): 90.00 90.00 120.00
With the nearest neighbours (Å) after each atom.
Space group R-3m (No. 166, hexagonal axes)
Symmetry-distinct sites (fractional):
Tm 0.0000 0.0000 0.0000  2 Se 2.81
Hf 0.0000 0.0000 0.5000  6 Se 2.69
Se 0.0000 0.0000 0.1053  3 Hf 2.69, 1 Tm 2.81

Its crystal system is trigonal. Its density is 7.96 g cm⁻³. The density of states at the Fermi level is 6.30 states/eV/cell.

---

How far above the most stable structure does each one sit? In meV per atom: a 0; b 288.

---

a:
Material: HfVSe3
Method: DFT, PBE-GGA
State: relaxed

a b c (Å): 6.6860 3.6451 9.7166
angles (deg): 90.00 101.61 90.00
With the nearest neighbours (Å) after each atom.
Space group P2_1/m (No. 11)
Symmetry-distinct sites (fractional):
Hf 0.2216 0.2500 0.4398  6 Se 2.69-2.73
V 0.4087 0.2500 0.8948  4 Se 2.40-2.61
Se 0.0589 0.2500 0.6734  3 Hf 2.69-2.71, 1 V 2.84
Se 0.2356 0.7500 0.9813  3 V 2.40-2.44
Se 0.4543 0.7500 0.3380  1 V 2.61, 3 Hf 2.71-2.73

Its crystal system is monoclinic. Its density is 6.68 g cm⁻³. The density of states at the Fermi level is 6.71 states/eV/cell.

---

b:
Material: HfVSe3
Method: DFT, PBE-GGA
State: relaxed

a b c (Å): 4.8073 4.8073 4.8073
angles (deg): 90.00 90.00 90.00
With the nearest neighbours (Å) after each atom.
Space group Pm-3m (No. 221)
Symmetry-distinct sites (fractional):
Hf 0.0000 0.0000 0.0000  12 Se 3.40
V 0.5000 0.5000 0.5000  6 Se 2.40
Se 0.0000 0.5000 0.5000  2 V 2.40

Its crystal system is cubic. Its density is 6.97 g cm⁻³. The density of states at the Fermi level is 5.79 states/eV/cell.

---

How far above the most stable structure does each one sit? In meV per atom: a 0; b 864.

---

a:
Material: Hf3VSe
Method: DFT, PBE-GGA
State: relaxed

a b c (Å): 4.9021 4.9021 4.9021
angles (deg): 90.00 90.00 90.00
With the nearest neighbours (Å) after each atom.
Space group Pm-3m (No. 221)
Symmetry-distinct sites (fractional):
Hf 0.0000 0.0000 0.5000  2 Se 2.45
V 0.5000 0.5000 0.5000  12 Hf 3.47
Se 0.0000 0.0000 0.0000  6 Hf 2.45

Its crystal system is cubic. Its density is 9.38 g cm⁻³. The density of states at the Fermi level is 6.01 states/eV/cell.

---

b:
Material: Hf3VSe
Method: DFT, PBE-GGA
State: relaxed

a b c (Å): 4.8662 4.8662 4.8662
angles (deg): 90.00 90.00 90.00
With the nearest neighbours (Å) after each atom.
Space group Pm-3m (No. 221)
Symmetry-distinct sites (fractional):
Hf 0.0000 0.0000 0.5000  2 V 2.43
V 0.0000 0.0000 0.0000  6 Hf 2.43
Se 0.5000 0.5000 0.5000  12 Hf 3.44

Its crystal system is cubic. Its density is 9.59 g cm⁻³. The density of states at the Fermi level is 7.38 states/eV/cell.

---

How far above the most stable structure does each one sit? In meV per atom: a 0; b 257.

---

a:
Material: HfW3Se
Method: DFT, PBE-GGA
State: relaxed

a b c (Å): 4.8452 4.8452 4.8452
angles (deg): 90.00 90.00 90.00
With the nearest neighbours (Å) after each atom.
Space group Pm-3m (No. 221)
Symmetry-distinct sites (fractional):
Hf 0.0000 0.0000 0.0000  6 W 2.42
W 0.0000 0.0000 0.5000  2 Hf 2.42
Se 0.5000 0.5000 0.5000  12 W 3.43

Its crystal system is cubic. Its density is 11.81 g cm⁻³. The density of states at the Fermi level is 6.54 states/eV/cell.

---

b:
Material: HfW3Se
Method: DFT, PBE-GGA
State: relaxed

a b c (Å): 4.6098 4.6098 4.6098
angles (deg): 90.00 90.00 90.00
With the nearest neighbours (Å) after each atom.
Space group Pm-3m (No. 221)
Symmetry-distinct sites (fractional):
Hf 0.0000 0.0000 0.0000  12 W 3.26
W 0.0000 0.5000 0.5000  2 Se 2.30
Se 0.5000 0.5000 0.5000  6 W 2.30

Its crystal system is cubic. Its density is 13.71 g cm⁻³. The density of states at the Fermi level is 9.86 states/eV/cell.

---

How far above the most stable structure does each one sit? In meV per atom: a 1414; b 0.

---

a:
Material: YHfSe2
Method: DFT, PBE-GGA
State: relaxed

a b c (Å): 6.8715 6.8715 6.8715
angles (deg): 90.00 90.00 90.00
With the nearest neighbours (Å) after each atom.
Space group Fm-3m (No. 225)
Symmetry-distinct sites (fractional):
Y 0.0000 0.0000 0.0000  8 Se 2.98
Hf 0.0000 0.0000 0.5000  8 Se 2.98
Se 0.2500 0.2500 0.2500  4 Hf 2.98, 4 Y 2.98

Its crystal system is cubic. Its density is 8.71 g cm⁻³. The density of states at the Fermi level is 10.01 states/eV/cell.

---

b:
Material: YHfSe2
Method: DFT, PBE-GGA
State: relaxed

a b c (Å): 3.7207 3.7207 26.8390
angles (deg): 90.00 90.00 120.00
With the nearest neighbours (Å) after each atom.
Space group R-3m (No. 166, hexagonal axes)
Symmetry-distinct sites (fractional):
Y 0.0000 0.0000 0.0000  2 Se 2.85
Hf 0.0000 0.0000 0.5000  6 Se 2.69
Se 0.0000 0.0000 0.1061  3 Hf 2.69, 1 Y 2.85

Its crystal system is trigonal. Its density is 6.58 g cm⁻³. The density of states at the Fermi level is 8.92 states/eV/cell.

---

How far above the most stable structure does each one sit? In meV per atom: a 0; b 131.

---

a:
Material: YHfSe2
Method: DFT, PBE-GGA
State: relaxed

a b c (Å): 3.6746 3.6746 22.3340
angles (deg): 90.00 90.00 120.00
With the nearest neighbours (Å) after each atom.
Space group R3m (No. 160, hexagonal axes)
Symmetry-distinct sites (fractional):
Y 0.0000 0.0000 0.0000  6 Se 2.90-2.93
Hf 0.0000 0.0000 0.1661  6 Se 2.73-2.74
Se 0.0000 0.0000 0.4219  3 Hf 2.74, 3 Y 2.90
Se 0.0000 0.0000 0.5764  3 Hf 2.73, 3 Y 2.93

Its crystal system is trigonal. Its density is 8.11 g cm⁻³. The density of states at the Fermi level is 8.60 states/eV/cell.

---

b:
Material: YHfSe2
Method: DFT, PBE-GGA
State: relaxed

a b c (Å): 6.1328 6.1328 12.5431
angles (deg): 90.00 90.00 90.00
With the nearest neighbours (Å) after each atom.
Space group I-42d (No. 122)
Symmetry-distinct sites (fractional):
Y 0.0000 0.0000 0.0000  4 Se 2.77
Hf 0.0000 0.0000 0.5000  4 Se 2.59
Se 0.2236 0.2500 0.6250  2 Hf 2.59, 2 Y 2.77

Its crystal system is tetragonal. Its density is 5.99 g cm⁻³. The density of states at the Fermi level is 14.33 states/eV/cell.

---

How far above the most stable structure does each one sit? In meV per atom: a 0; b 473.